Entry 1:
Material: Sr2CaS2I2
Method: DFT, PBE
State: optimized geometry

a b c (Å): 9.192 9.192 9.192
angles (deg): 146.69 146.69 47.83
Fractional coordinates of all 7 atoms:
Sr: 0.108 0.108 0.000
Sr: 0.892 0.892 0.000
Ca: 0.500 0.500 0.000
S: 0.000 0.500 0.500
S: 0.500 0.000 0.500
I: 0.309 0.309 0.000
I: 0.691 0.691 0.000

Output
ΔE_f (raw) = -12.62 eV/f.u.
Crystal system = tetragonal
DOS at the Fermi energy = 0.00 states/eV per cell
M_tot = 0.000 μB/atom


Entry 2:
Material: Ir2C
Method: DFT, PBE
State: optimized geometry

a b c (Å): 2.804 2.804 10.802
angles (deg): 90.00 90.00 120.00
Fractional coordinates of all 6 atoms:
Ir: 0.000 0.000 0.120
Ir: 0.000 0.000 0.380
Ir: 0.000 0.000 0.620
Ir: 0.000 0.000 0.880
C: 0.333 0.667 0.250
C: 0.667 0.333 0.750

Output
Formation enthalpy at 0 K = 53.9 kJ per mole of atoms
Crystal system = hexagonal
DOS at the Fermi energy = 2.92 states/eV per cell
M_tot = 0.000 μB/atom


The calculation returns the following total DFT energy (no corrections) values, one per record and in order: -4.191 -8.424 eV per atom.